No. 1
This record from Alexandria describes NdZr2Cu9 after structural relaxation. The functional is PBE.

Cell lengths 5.107, 5.107, 16.413 Å; angles 90.00, 90.00, 120.00 degrees
Sites, in units of the cell vectors:
Nd 0.333 0.667 0.250
Nd 0.667 0.333 0.750
Zr 0.333 0.667 0.033
Zr 0.333 0.667 0.467
Zr 0.667 0.333 0.533
Zr 0.667 0.333 0.967
Cu 0.000 0.000 0.000
Cu 0.000 0.000 0.250
Cu 0.000 0.000 0.500
Cu 0.000 0.000 0.750
Cu 0.168 0.335 0.623
Cu 0.168 0.335 0.877
Cu 0.168 0.832 0.623
Cu 0.168 0.832 0.877
Cu 0.333 0.667 0.750
Cu 0.335 0.168 0.123
Cu 0.335 0.168 0.377
Cu 0.665 0.832 0.623
Cu 0.665 0.832 0.877
Cu 0.667 0.333 0.250
Cu 0.832 0.168 0.123
Cu 0.832 0.168 0.377
Cu 0.832 0.665 0.123
Cu 0.832 0.665 0.377

Calculated values
**DOS at the Fermi energy**: 26.3 states/eV per cell
**Final energy**: -5.0088 eV per atom



No. 2
This record from Alexandria describes KAlBi2Sb after structural relaxation. The functional is PBE.

Cell lengths 5.899, 5.899, 6.228 Å; angles 90.00, 90.00, 90.00 degrees
Sites, in units of the cell vectors:
K 0.000 0.000 0.000
Al 0.500 0.500 0.000
Bi 0.000 0.500 0.500
Bi 0.500 0.000 0.500
Sb 0.000 0.000 0.500

Calculated values
**DOS at the Fermi energy**: 6.6 states/eV per cell
**ΔE_f (raw)**: 0.58 eV/atom



No. 3
This record from Alexandria describes V2GaH2 after structural relaxation. The functional is PBE.

Cell lengths 4.881, 4.881, 4.881 Å; angles 140.62, 140.62, 56.92 degrees
Sites, in units of the cell vectors:
V 0.163 0.163 0.000
V 0.837 0.837 0.000
Ga 0.500 0.500 0.000
H 0.250 0.750 0.500
H 0.750 0.250 0.500

Calculated values
**DOS at the Fermi energy**: 3.8 states/eV per cell
**Energy relative to the lowest polymorph listed for this composition**: 0 kJ/mol of formula units



No. 4
This record from Alexandria describes Nd5Ag2Sn2 after structural relaxation. The functional is PBE.

Cell lengths 9.042, 9.042, 8.207 Å; angles 90.00, 90.00, 54.61 degrees
Sites, in units of the cell vectors:
Nd 0.000 0.000 0.000
Nd 0.035 0.690 0.667
Nd 0.190 0.535 0.167
Nd 0.310 0.965 0.667
Nd 0.465 0.810 0.167
Nd 0.500 0.500 0.500
Nd 0.535 0.190 0.833
Nd 0.690 0.035 0.333
Nd 0.810 0.465 0.833
Nd 0.965 0.310 0.333
Ag 0.124 0.876 0.374
Ag 0.376 0.624 0.874
Ag 0.624 0.376 0.126
Ag 0.876 0.124 0.626
Sn 0.205 0.205 0.000
Sn 0.295 0.295 0.500
Sn 0.705 0.705 0.500
Sn 0.795 0.795 0.000

Calculated values
**DOS at the Fermi energy**: 18.6 states/eV per cell
**Final energy**: -4.5837 eV per atom